<i>
VASP calculation (PBE) on a relaxed Ti3BW crystal.

```
5
Lattice="4.717 0.000 0.000 0.000 4.717 0.000 0.000 0.000 4.717" Properties=species:S:1:pos:R:3 pbc="T T T"
Ti 0.000 0.000 2.358
Ti 0.000 2.358 0.000
Ti 2.358 0.000 0.000
B 2.358 2.358 2.358
W 0.000 0.000 0.000
```


<ii>
VASP calculation (PBE) on a relaxed Ti3BW crystal.

```
5
Lattice="4.248 0.000 0.000 0.000 4.248 0.000 0.000 0.000 4.248" Properties=species:S:1:pos:R:3 pbc="T T T"
Ti 0.000 0.000 2.124
Ti 0.000 2.124 0.000
Ti 2.124 0.000 0.000
B 0.000 0.000 0.000
W 2.124 2.124 2.124
```


Going by the energies, <ii> is most stable and the next is 1.589 eV/atom up.


<i>
VASP calculation (PBE) on a relaxed TiBW crystal.

```
6
Lattice="1.547 -5.022 0.000 1.547 5.022 0.000 0.000 0.000 4.994" Properties=species:S:1:pos:R:3 pbc="T T T"
Ti 1.547 2.929 3.746
Ti 1.547 -2.929 1.249
B 1.547 3.734 1.249
B 1.547 -3.734 3.746
W 1.547 0.000 0.000
W 1.547 0.000 2.497
```


<ii>
VASP calculation (PBE) on a relaxed TiBW crystal.

```
6
Lattice="0.000 3.906 4.055 2.344 0.000 4.055 2.344 3.906 0.000" Properties=species:S:1:pos:R:3 pbc="T T T"
Ti 2.344 1.317 4.055
Ti 2.344 6.495 4.055
B 1.172 1.953 2.027
B 3.516 5.859 6.082
W 2.344 3.906 2.728
W 2.344 3.906 5.381
```


<iii>
VASP calculation (PBE) on a relaxed TiBW crystal.

```
6
Lattice="1.610 -7.428 0.000 1.610 7.428 0.000 0.000 0.000 3.106" Properties=species:S:1:pos:R:3 pbc="T T T"
Ti 1.610 6.167 2.330
Ti 1.610 -6.167 0.777
B 1.610 0.480 2.330
B 1.610 -0.480 0.777
W 1.610 2.966 2.330
W 1.610 -2.966 0.777
```


Going by the energies, <iii> is most stable and the next is 0.070 eV/atom up.


<i>
VASP calculation (PBE) on a relaxed TiB3W crystal.

```
10
Lattice="1.601 -9.509 0.000 1.601 9.509 0.000 0.000 0.000 3.070" Properties=species:S:1:pos:R:3 pbc="T T T"
Ti 1.601 8.182 2.303
Ti 1.601 -8.182 0.768
B 1.601 3.123 0.768
B 1.601 2.185 2.303
B 1.601 0.429 2.303
B 1.601 -0.429 0.768
B 1.601 -2.185 0.768
B 1.601 -3.123 2.303
W 1.601 5.628 0.768
W 1.601 -5.628 2.303
```


<ii>
VASP calculation (PBE) on a relaxed TiB3W crystal.

```
5
Lattice="3.879 0.000 0.000 0.000 3.879 0.000 0.000 0.000 3.879" Properties=species:S:1:pos:R:3 pbc="T T T"
Ti 0.000 0.000 0.000
B 0.000 0.000 1.939
B 0.000 1.939 0.000
B 1.939 0.000 0.000
W 1.939 1.939 1.939
```


<iii>
VASP calculation (PBE) on a relaxed TiB3W crystal.

```
5
Lattice="4.076 0.000 0.000 0.000 4.076 0.000 0.000 0.000 4.076" Properties=species:S:1:pos:R:3 pbc="T T T"
Ti 0.000 0.000 0.000
B 0.000 2.038 2.038
B 2.038 0.000 2.038
B 2.038 2.038 0.000
W 2.038 2.038 2.038
```


Going by the energies, <i> is most stable and the next is 1.724 eV/atom up.


<i>
VASP calculation (PBE) on a relaxed TiBW3 crystal.

```
5
Lattice="4.529 0.000 0.000 0.000 4.529 0.000 0.000 0.000 4.529" Properties=species:S:1:pos:R:3 pbc="T T T"
Ti 0.000 0.000 0.000
B 2.265 2.265 2.265
W 0.000 0.000 2.265
W 0.000 2.265 0.000
W 2.265 0.000 0.000
```


<ii>
VASP calculation (PBE) on a relaxed TiBW3 crystal.

```
5
Lattice="4.232 0.000 0.000 0.000 4.232 0.000 0.000 0.000 4.232" Properties=species:S:1:pos:R:3 pbc="T T T"
Ti 0.000 0.000 0.000
B 2.116 2.116 2.116
W 0.000 2.116 2.116
W 2.116 0.000 2.116
W 2.116 2.116 0.000
```


Going by the energies, <ii> is most stable and the next is 2.587 eV/atom up.